No. 1
Below is an optimized crystal structure of Li2SnIr2, with properties calculated at the GGA-PBE level.

* formation energy from the elements: -0.0911 eV per atom
* density of states at the Fermi level: 0.335 states/eV/atom
* SG: P4/mbm (127)

```
data_Li2SnIr2
_chemical_formula_sum 'Li4 Sn2 Ir4'
_cell_length_a 6.5994
_cell_length_b 6.5994
_cell_length_c 4.0012
_cell_angle_alpha 90.00
_cell_angle_beta 90.00
_cell_angle_gamma 90.00
_symmetry_space_group_name_H-M 'P 1'
_symmetry_Int_Tables_number 1
loop_
_symmetry_equiv_pos_as_xyz
'x,y,z'
loop_
_atom_site_label
_atom_site_type_symbol
_atom_site_fract_x
_atom_site_fract_y
_atom_site_fract_z
_atom_site_occupancy
Li1 Li 0.1579 0.3421 0.0000 1
Li2 Li 0.3421 0.8421 0.0000 1
Li3 Li 0.6579 0.1579 0.0000 1
Li4 Li 0.8421 0.6579 0.0000 1
Sn1 Sn 0.0000 0.0000 0.5000 1
Sn2 Sn 0.5000 0.5000 0.5000 1
Ir1 Ir 0.1330 0.6330 0.5000 1
Ir2 Ir 0.3670 0.1330 0.5000 1
Ir3 Ir 0.6330 0.8670 0.5000 1
Ir4 Ir 0.8670 0.3670 0.5000 1
```



No. 2
Below is an optimized crystal structure of Li2Sn2Ir, with properties calculated at the GGA-PBE level.

* formation energy from the elements: 0.1387 eV per atom
* density of states at the Fermi level: 0.681 states/eV/atom
* SG: I4/mmm (139)

```
data_Li2Sn2Ir
_chemical_formula_sum 'Li4 Sn4 Ir2'
_cell_length_a 4.9613
_cell_length_b 4.9613
_cell_length_c 7.1666
_cell_angle_alpha 90.00
_cell_angle_beta 90.00
_cell_angle_gamma 90.00
_symmetry_space_group_name_H-M 'P 1'
_symmetry_Int_Tables_number 1
loop_
_symmetry_equiv_pos_as_xyz
'x,y,z'
loop_
_atom_site_label
_atom_site_type_symbol
_atom_site_fract_x
_atom_site_fract_y
_atom_site_fract_z
_atom_site_occupancy
Li1 Li 0.0000 0.0000 0.1492 1
Li2 Li 0.0000 0.0000 0.8508 1
Li3 Li 0.5000 0.5000 0.3508 1
Li4 Li 0.5000 0.5000 0.6492 1
Sn1 Sn 0.0000 0.5000 0.2500 1
Sn2 Sn 0.0000 0.5000 0.7500 1
Sn3 Sn 0.5000 0.0000 0.2500 1
Sn4 Sn 0.5000 0.0000 0.7500 1
Ir1 Ir 0.0000 0.0000 0.5000 1
Ir2 Ir 0.5000 0.5000 0.0000 1
```



No. 3
Below is an optimized crystal structure of LiSn3Ir, with properties calculated at the GGA-PBE level.

* formation energy from the elements: 0.1739 eV per atom
* density of states at the Fermi level: 1.155 states/eV/atom
* ΔE to the lowest computed polymorph: 0 meV per atom
* SG: Pm-3m (221)

```
data_LiSn3Ir
_chemical_formula_sum 'Li1 Sn3 Ir1'
_cell_length_a 5.2028
_cell_length_b 5.2028
_cell_length_c 5.2028
_cell_angle_alpha 90.00
_cell_angle_beta 90.00
_cell_angle_gamma 90.00
_symmetry_space_group_name_H-M 'P 1'
_symmetry_Int_Tables_number 1
loop_
_symmetry_equiv_pos_as_xyz
'x,y,z'
loop_
_atom_site_label
_atom_site_type_symbol
_atom_site_fract_x
_atom_site_fract_y
_atom_site_fract_z
_atom_site_occupancy
Li1 Li 0.0000 0.0000 0.0000 1
Sn1 Sn 0.0000 0.5000 0.5000 1
Sn2 Sn 0.5000 0.0000 0.5000 1
Sn3 Sn 0.5000 0.5000 0.0000 1
Ir1 Ir 0.5000 0.5000 0.5000 1
```



No. 4
Below is an optimized crystal structure of Li2SnIr, with properties calculated at the GGA-PBE level.

* formation energy from the elements: -0.0478 eV per atom
* density of states at the Fermi level: 0.655 states/eV/atom
* SG: I-42d (122)

```
data_Li2SnIr
_chemical_formula_sum 'Li8 Sn4 Ir4'
_cell_length_a 3.8235
_cell_length_b 3.8235
_cell_length_c 19.3288
_cell_angle_alpha 90.00
_cell_angle_beta 90.00
_cell_angle_gamma 90.00
_symmetry_space_group_name_H-M 'P 1'
_symmetry_Int_Tables_number 1
loop_
_symmetry_equiv_pos_as_xyz
'x,y,z'
loop_
_atom_site_label
_atom_site_type_symbol
_atom_site_fract_x
_atom_site_fract_y
_atom_site_fract_z
_atom_site_occupancy
Li1 Li 0.2191 0.2500 0.1250 1
Li2 Li 0.2500 0.7191 0.3750 1
Li3 Li 0.2500 0.7809 0.8750 1
Li4 Li 0.2809 0.2500 0.6250 1
Li5 Li 0.7191 0.7500 0.6250 1
Li6 Li 0.7500 0.2191 0.8750 1
Li7 Li 0.7500 0.2809 0.3750 1
Li8 Li 0.7809 0.7500 0.1250 1
Sn1 Sn 0.0000 0.0000 0.5000 1
Sn2 Sn 0.0000 0.5000 0.7500 1
Sn3 Sn 0.5000 0.0000 0.2500 1
Sn4 Sn 0.5000 0.5000 0.0000 1
Ir1 Ir 0.0000 0.0000 0.0000 1
Ir2 Ir 0.0000 0.5000 0.2500 1
Ir3 Ir 0.5000 0.0000 0.7500 1
Ir4 Ir 0.5000 0.5000 0.5000 1
```



No. 5
Below is an optimized crystal structure of Li2Sn2Ir, with properties calculated at the GGA-PBE level.

* formation energy from the elements: -0.1636 eV per atom
* density of states at the Fermi level: 0.300 states/eV/atom
* SG: P4/mbm (127)

```
data_Li2Sn2Ir
_chemical_formula_sum 'Li4 Sn4 Ir2'
_cell_length_a 7.0072
_cell_length_b 7.0072
_cell_length_c 3.8167
_cell_angle_alpha 90.00
_cell_angle_beta 90.00
_cell_angle_gamma 90.00
_symmetry_space_group_name_H-M 'P 1'
_symmetry_Int_Tables_number 1
loop_
_symmetry_equiv_pos_as_xyz
'x,y,z'
loop_
_atom_site_label
_atom_site_type_symbol
_atom_site_fract_x
_atom_site_fract_y
_atom_site_fract_z
_atom_site_occupancy
Li1 Li 0.1593 0.3407 0.0000 1
Li2 Li 0.3407 0.8407 0.0000 1
Li3 Li 0.6593 0.1593 0.0000 1
Li4 Li 0.8407 0.6593 0.0000 1
Sn1 Sn 0.1483 0.6483 0.5000 1
Sn2 Sn 0.3517 0.1483 0.5000 1
Sn3 Sn 0.6483 0.8517 0.5000 1
Sn4 Sn 0.8517 0.3517 0.5000 1
Ir1 Ir 0.0000 0.0000 0.5000 1
Ir2 Ir 0.5000 0.5000 0.5000 1
```



No. 6
Below is an optimized crystal structure of Li3SnIr, with properties calculated at the GGA-PBE level.

* formation energy from the elements: 0.3242 eV per atom
* density of states at the Fermi level: 0.533 states/eV/atom
* ΔE to the lowest computed polymorph: 0 meV per atom
* SG: Pm-3m (221)

```
data_Li3SnIr
_chemical_formula_sum 'Li3 Sn1 Ir1'
_cell_length_a 4.6171
_cell_length_b 4.6171
_cell_length_c 4.6171
_cell_angle_alpha 90.00
_cell_angle_beta 90.00
_cell_angle_gamma 90.00
_symmetry_space_group_name_H-M 'P 1'
_symmetry_Int_Tables_number 1
loop_
_symmetry_equiv_pos_as_xyz
'x,y,z'
loop_
_atom_site_label
_atom_site_type_symbol
_atom_site_fract_x
_atom_site_fract_y
_atom_site_fract_z
_atom_site_occupancy
Li1 Li 0.0000 0.0000 0.5000 1
Li2 Li 0.0000 0.5000 0.0000 1
Li3 Li 0.5000 0.0000 0.0000 1
Sn1 Sn 0.5000 0.5000 0.5000 1
Ir1 Ir 0.0000 0.0000 0.0000 1
```



No. 7
Below is an optimized crystal structure of LiSnIr, with properties calculated at the GGA-PBE level.

* formation energy from the elements: -0.2062 eV per atom
* density of states at the Fermi level: 0.174 states/eV/atom
* SG: P3m1 (156)

```
data_LiSnIr
_chemical_formula_sum 'Li1 Sn1 Ir1'
_cell_length_a 4.3442
_cell_length_b 4.3442
_cell_length_c 2.9396
_cell_angle_alpha 90.00
_cell_angle_beta 90.00
_cell_angle_gamma 120.00
_symmetry_space_group_name_H-M 'P 1'
_symmetry_Int_Tables_number 1
loop_
_symmetry_equiv_pos_as_xyz
'x,y,z'
loop_
_atom_site_label
_atom_site_type_symbol
_atom_site_fract_x
_atom_site_fract_y
_atom_site_fract_z
_atom_site_occupancy
Li1 Li 0.0000 0.0000 0.0000 1
Sn1 Sn 0.6667 0.3333 0.6640 1
Ir1 Ir 0.3333 0.6667 0.2960 1
```



No. 8
Below is an optimized crystal structure of Li2Sn3Ir, with properties calculated at the GGA-PBE level.

* formation energy from the elements: -0.2213 eV per atom
* density of states at the Fermi level: 0.381 states/eV/atom
* SG: P-1 (2)

```
data_Li2Sn3Ir
_chemical_formula_sum 'Li4 Sn6 Ir2'
_cell_length_a 5.3591
_cell_length_b 7.0207
_cell_length_c 7.0735
_cell_angle_alpha 94.46
_cell_angle_beta 105.96
_cell_angle_gamma 98.37
_symmetry_space_group_name_H-M 'P 1'
_symmetry_Int_Tables_number 1
loop_
_symmetry_equiv_pos_as_xyz
'x,y,z'
loop_
_atom_site_label
_atom_site_type_symbol
_atom_site_fract_x
_atom_site_fract_y
_atom_site_fract_z
_atom_site_occupancy
Li1 Li 0.2128 0.4026 0.1242 1
Li2 Li 0.2301 0.3716 0.7110 1
Li3 Li 0.7699 0.6284 0.2890 1
Li4 Li 0.7872 0.5974 0.8758 1
Sn1 Sn 0.0864 0.0328 0.2950 1
Sn2 Sn 0.3337 0.6697 0.4703 1
Sn3 Sn 0.3383 0.7662 0.9517 1
Sn4 Sn 0.6617 0.2338 0.0483 1
Sn5 Sn 0.6663 0.3303 0.5297 1
Sn6 Sn 0.9136 0.9672 0.7050 1
Ir1 Ir 0.4173 0.0361 0.6834 1
Ir2 Ir 0.5827 0.9639 0.3166 1
```